Entry 1:
Here is a geometry-optimized Ce2Co3Ge4Pt structure from the Alexandria database. Energies are from PBE-GGA.

Unit cell a=4.128 b=4.128 c=9.876 alpha=90.00 beta=90.00 gamma=90.00
Sites, in units of the cell vectors:
Ce (0.000, 0.500, 0.240)
Ce (0.500, 0.000, 0.760)
Co (0.000, 0.500, 0.877)
Co (0.500, 0.000, 0.123)
Co (0.500, 0.500, 0.500)
Ge (0.000, 0.000, 0.000)
Ge (0.000, 0.500, 0.642)
Ge (0.500, 0.000, 0.358)
Ge (0.500, 0.500, 0.000)
Pt (0.000, 0.000, 0.500)

Output
**Formation energy**: -0.668 eV per atom
**D(E_F)**: 1.064 states/eV/atom



Entry 2:
Here is a geometry-optimized K2CaSb structure from the Alexandria database. Energies are from PBE-GGA.

Unit cell a=5.920 b=5.920 c=5.920 alpha=119.92 beta=119.92 gamma=90.15
Sites, in units of the cell vectors:
K (0.000, 0.000, 0.000)
K (0.750, 0.250, 0.500)
Ca (0.500, 0.500, 0.000)
Sb (0.250, 0.750, 0.500)

Output
**Raw formation energy**: -23.7 kJ/mol of atoms
**D(E_F)**: 0.893 states/eV/atom



Entry 3:
Here is a geometry-optimized Zn2RuCl structure from the Alexandria database. Energies are from PBE-GGA.

Unit cell a=4.683 b=4.683 c=2.996 alpha=90.00 beta=90.00 gamma=109.64
Sites, in units of the cell vectors:
Zn (0.000, 0.500, 0.000)
Zn (0.500, 0.000, 0.000)
Ru (0.000, 0.000, 0.500)
Cl (0.500, 0.500, 0.500)

Output
**Excess energy over the best structure of this formula in the dataset**: 233.5 meV/atom
**Raw formation energy**: 15.9 kJ/mol of atoms
**D(E_F)**: 0.527 states/eV/atom